This record from Alexandria via LeMat-Bulk describes Bi2Sb2Pt3 after structural relaxation. The functional is PBE.

a b c (Å): 6.8582 7.3309 7.1173
angles (deg): 90.00 106.70 90.00
Space group P2_1/c (No. 14)
Inequivalent atoms, fractional coordinates:
Bi: 0.1400 0.1587 0.3844 (multiplicity 4)
Sb: 0.3726 0.6531 0.6218 (multiplicity 4)
Pt: 0.0000 0.0000 0.0000 (multiplicity 2)
Pt: 0.2764 0.5325 0.2453 (multiplicity 4)

* energy above the lowest structure with this stoichiometry: 0.000 eV/atom
* M_tot: 0.00 μB/f.u.